DFT (meta-GGA SCAN) results for a PBEsol-optimized structure of RbRePS2.

Uncorrected formation energy, eV/atom: 2.6513
Density, g cm⁻³: 4.38
Total DFT energy (no corrections), eV per atom: -21.6470

Lattice parameters (Å, degrees): 5.0984 5.0984 5.3440 90.00 90.00 90.00
With the nearest neighbours (Å) after each atom.
Positions (direct):
Rb 0.0000 0.0000 0.0000  4 S 2.55, 2 P 2.67
Re 0.5000 0.5000 0.5000  4 P 3.61, 8 S 3.69
P 0.0000 0.0000 0.5000  2 Rb 2.67
S 0.0000 0.5000 0.0000  2 Rb 2.55
S 0.5000 0.0000 0.0000  2 Rb 2.55



DFT (meta-GGA SCAN) results for a PBEsol-optimized structure of RbRePW2.

Density, g cm⁻³: 11.57
Total DFT energy (no corrections), eV per atom: -46.5310

Lattice parameters (Å, degrees): 4.6079 4.6079 4.5295 90.00 90.00 90.00
With the nearest neighbours (Å) after each atom.
Positions (direct):
Rb 0.0000 0.0000 0.0000  8 W 3.23, 4 Re 3.26
Re 0.5000 0.5000 0.0000  2 P 2.26
P 0.5000 0.5000 0.5000  2 Re 2.26, 4 W 2.30
W 0.0000 0.5000 0.5000  2 P 2.30
W 0.5000 0.0000 0.5000  2 P 2.30



DFT (meta-GGA SCAN) results for a PBEsol-optimized structure of RbZr2ReP.

Density, g cm⁻³: 6.51
Total DFT energy (no corrections), eV per atom: -32.2098

Lattice parameters (Å, degrees): 5.1826 5.1826 4.6091 90.00 90.00 90.00
With the nearest neighbours (Å) after each atom.
Positions (direct):
Rb 0.0000 0.0000 0.0000  8 Zr 3.47, 4 P 3.66
Zr 0.0000 0.5000 0.5000  2 Re 2.59
Zr 0.5000 0.0000 0.5000  2 Re 2.59
Re 0.5000 0.5000 0.5000  2 P 2.30
P 0.5000 0.5000 0.0000  2 Re 2.30



Number 1: spin magnetization 3.30 μB per cell. Number 2: spin magnetization 0.15 μB per cell. Number 3: spin magnetization 0.00 μB per cell.